Compound: Pr3Tl2Sb
Source: Alexandria via LeMat-Bulk
Functional: GGA-PBE
Structure: optimized geometry

Output
Uncorrected formation energy = -513 meV per atom
Calculated volume = 815.3 Å³ per cell

Geometry as CIF:
```
data_Pr3Tl2Sb
_chemical_formula_sum 'Pr12 Tl8 Sb4'
_symmetry_space_group_name_H-M 'C 1 2/c 1'
_symmetry_Int_Tables_number 15
_cell_length_a 15.5004
_cell_length_b 6.4463
_cell_length_c 8.4855
_cell_angle_alpha 90.00
_cell_angle_beta 105.92
_cell_angle_gamma 90.00
loop_
_symmetry_equiv_pos_as_xyz
'x,y,z'
'-x,-y,-z'
'-x,y,-z+1/2'
'x,-y,z+1/2'
'x+1/2,y+1/2,z'
'-x+1/2,-y+1/2,-z'
'-x+1/2,y+1/2,-z+1/2'
'x+1/2,-y+1/2,z+1/2'
loop_
_atom_site_label
_atom_site_type_symbol
_atom_site_fract_x
_atom_site_fract_y
_atom_site_fract_z
_atom_site_occupancy
Pr1 Pr 0.0000 0.9998 0.2500 1
Pr2 Pr 0.1542 0.4992 0.0773 1
Tl1 Tl 0.1762 0.0010 0.5875 1
Sb1 Sb 0.0000 0.4997 0.2500 1
```